[1]
Entry from the Alexandria database: an optimized crystal structure of Th4GeTe2S (PBE-GGA).

Calculated values
SG	P2/m
crystal system	monoclinic
E_form (uncorrected)	-118.44	kJ/mol of atoms

abc: 7.262 4.283 7.818
angles: 90.00 108.88 90.00
Fractional coordinates of all 8 atoms:
Th  0.225  0.000  0.208
Th  0.249  0.500  0.787
Th  0.751  0.500  0.213
Th  0.775  0.000  0.792
Ge  0.500  0.000  0.000
Te  0.000  0.000  0.500
Te  0.500  0.500  0.500
S  0.000  0.500  0.000

[2]
Entry from the Alexandria database: an optimized crystal structure of CsNaF2 (PBE-GGA).

Calculated values
SG	P4/nmm
crystal system	tetragonal
distance to the lowest polymorph of the same formula	0	meV/atom
E_form (uncorrected)	-257.52	kJ/mol of atoms

abc: 4.352 4.352 8.735
angles: 90.00 90.00 90.00
Fractional coordinates of all 8 atoms:
Cs  0.250  0.250  0.179
Cs  0.750  0.750  0.821
Na  0.250  0.250  0.580
Na  0.750  0.750  0.420
F  0.250  0.250  0.839
F  0.250  0.750  0.500
F  0.750  0.250  0.500
F  0.750  0.750  0.161

[3]
Entry from the Alexandria database: an optimized crystal structure of LiCe2CuS5 (PBE-GGA).

Calculated values
SG	Cmc2_1
crystal system	orthorhombic
E_form (uncorrected)	-138.10	kJ/mol of atoms

abc: 8.309 8.309 11.036
angles: 90.00 90.00 153.02
Fractional coordinates of all 18 atoms:
Li  0.200  0.800  0.500
Li  0.800  0.200  0.000
Ce  0.115  0.885  0.183
Ce  0.131  0.869  0.796
Ce  0.869  0.131  0.296
Ce  0.885  0.115  0.683
Cu  0.435  0.565  0.951
Cu  0.565  0.435  0.451
S  0.042  0.958  0.555
S  0.293  0.707  0.160
S  0.312  0.688  0.838
S  0.353  0.647  0.494
S  0.497  0.503  0.271
S  0.503  0.497  0.771
S  0.647  0.353  0.994
S  0.688  0.312  0.338
S  0.707  0.293  0.660
S  0.958  0.042  0.055

[4]
Entry from the Alexandria database: an optimized crystal structure of Ti5Zn2FeCo2 (PBE-GGA).

Calculated values
SG	P4/mbm
crystal system	tetragonal
ΔH_f (0 K)	-189.5	meV per atom

abc: 10.079 10.079 2.931
angles: 90.00 90.00 90.00
Fractional coordinates of all 20 atoms:
Ti  0.000  0.500  0.000
Ti  0.068  0.193  0.000
Ti  0.193  0.932  0.000
Ti  0.307  0.432  0.000
Ti  0.432  0.693  0.000
Ti  0.500  0.000  0.000
Ti  0.568  0.307  0.000
Ti  0.693  0.568  0.000
Ti  0.807  0.068  0.000
Ti  0.932  0.807  0.000
Zn  0.174  0.674  0.500
Zn  0.326  0.174  0.500
Zn  0.674  0.826  0.500
Zn  0.826  0.326  0.500
Fe  0.000  0.000  0.500
Fe  0.500  0.500  0.500
Co  0.132  0.368  0.500
Co  0.368  0.868  0.500
Co  0.632  0.132  0.500
Co  0.868  0.632  0.500

[5]
Entry from the Alexandria database: an optimized crystal structure of SiSbTe2 (PBE-GGA).

Calculated values
SG	R-3m
crystal system	trigonal
distance to the lowest polymorph of the same formula	81	meV/atom
E_form (uncorrected)	19.77	kJ/mol of atoms

abc: 9.520 9.520 9.520
angles: 23.45 23.45 23.45
Fractional coordinates of all 4 atoms:
Si  0.000  0.000  0.000
Sb  0.500  0.500  0.500
Te  0.391  0.391  0.391
Te  0.609  0.609  0.609

[6]
Entry from the Alexandria database: an optimized crystal structure of Pr3DyHo8 (PBE-GGA).

Calculated values
SG	I-42m
crystal system	tetragonal
ΔH_f (0 K)	621.5	meV per atom

abc: 8.393 8.393 8.393
angles: 117.09 117.09 95.11
Fractional coordinates of all 12 atoms:
Pr  0.000  0.000  0.000
Pr  0.250  0.750  0.500
Pr  0.750  0.250  0.500
Dy  0.500  0.500  0.000
Ho  0.129  0.129  0.749
Ho  0.245  0.733  0.000
Ho  0.267  0.267  0.512
Ho  0.381  0.381  0.251
Ho  0.619  0.871  0.000
Ho  0.733  0.245  0.000
Ho  0.755  0.755  0.488
Ho  0.871  0.619  0.000

[7]
Entry from the Alexandria database: an optimized crystal structure of Y2Ho3Zn2 (PBE-GGA).

Calculated values
SG	C2/m
crystal system	monoclinic
distance to the lowest polymorph of the same formula	0	meV/atom
ΔH_f (0 K)	-166.7	meV per atom

abc: 6.665 6.665 8.983
angles: 114.71 114.71 32.13
Fractional coordinates of all 7 atoms:
Y  0.148  0.148  0.310
Y  0.852  0.852  0.690
Ho  0.388  0.388  0.058
Ho  0.500  0.500  0.500
Ho  0.612  0.612  0.942
Zn  0.178  0.178  0.723
Zn  0.822  0.822  0.277

[8]
Entry from the Alexandria database: an optimized crystal structure of HfTcBiO6 (PBE-GGA).

Calculated values
SG	P4_2nm
crystal system	tetragonal
E_form (uncorrected)	-189.17	kJ/mol of atoms

abc: 4.953 4.953 9.853
angles: 90.00 90.00 90.00
Fractional coordinates of all 18 atoms:
Hf  0.000  0.000  0.000
Hf  0.500  0.500  0.500
Tc  0.000  0.000  0.335
Tc  0.500  0.500  0.835
Bi  0.000  0.000  0.669
Bi  0.500  0.500  0.169
O  0.175  0.175  0.173
O  0.201  0.201  0.475
O  0.213  0.213  0.850
O  0.287  0.713  0.350
O  0.299  0.701  0.975
O  0.325  0.675  0.673
O  0.675  0.325  0.673
O  0.701  0.299  0.975
O  0.713  0.287  0.350
O  0.787  0.787  0.850
O  0.799  0.799  0.475
O  0.825  0.825  0.173

[9]
Entry from the Alexandria database: an optimized crystal structure of Na4PuNp3Te8 (PBE-GGA).

Calculated values
SG	C2/m
crystal system	monoclinic
E_form (uncorrected)	-84.34	kJ/mol of atoms

abc: 8.973 8.973 9.123
angles: 119.53 119.53 59.97
Fractional coordinates of all 16 atoms:
Na  0.000  0.000  0.000
Na  0.000  0.500  0.000
Na  0.500  0.000  0.000
Na  0.500  0.500  0.000
Pu  0.000  0.000  0.500
Np  0.000  0.500  0.500
Np  0.500  0.000  0.500
Np  0.500  0.500  0.500
Te  0.246  0.246  0.734
Te  0.246  0.743  0.734
Te  0.255  0.255  0.266
Te  0.257  0.754  0.266
Te  0.743  0.246  0.734
Te  0.745  0.745  0.734
Te  0.754  0.257  0.266
Te  0.754  0.754  0.266

[10]
Entry from the Alexandria database: an optimized crystal structure of ZnCu3Ge (PBE-GGA).

Calculated values
SG	P-1
crystal system	triclinic
distance to the lowest polymorph of the same formula	6	meV/atom
ΔH_f (0 K)	10.0	meV per atom

abc: 4.512 4.907 6.932
angles: 86.83 85.29 65.62
Fractional coordinates of all 10 atoms:
Zn  0.126  0.156  0.271
Zn  0.874  0.844  0.729
Cu  0.010  0.695  0.364
Cu  0.289  0.943  0.914
Cu  0.451  0.767  0.551
Cu  0.549  0.233  0.449
Cu  0.711  0.057  0.086
Cu  0.990  0.305  0.636
Ge  0.424  0.394  0.815
Ge  0.576  0.606  0.185

[11]
Entry from the Alexandria database: an optimized crystal structure of TiCuSn2 (PBE-GGA).

Calculated values
SG	P4/mmm
crystal system	tetragonal
ΔH_f (0 K)	15.1	meV per atom

abc: 3.484 3.484 6.307
angles: 90.00 90.00 90.00
Fractional coordinates of all 4 atoms:
Ti  0.000  0.000  0.000
Cu  0.000  0.000  0.500
Sn  0.500  0.500  0.262
Sn  0.500  0.500  0.738

[12]
Entry from the Alexandria database: an optimized crystal structure of Ba5CdPd (PBE-GGA).

Calculated values
SG	P2_1/m
crystal system	monoclinic
ΔH_f (0 K)	-244.4	meV per atom

abc: 10.409 4.842 13.732
angles: 90.00 90.54 90.00
Fractional coordinates of all 14 atoms:
Ba  0.024  0.250  0.366
Ba  0.138  0.750  0.931
Ba  0.302  0.250  0.710
Ba  0.350  0.750  0.435
Ba  0.373  0.250  0.147
Ba  0.627  0.750  0.853
Ba  0.650  0.250  0.565
Ba  0.698  0.750  0.290
Ba  0.862  0.250  0.069
Ba  0.976  0.750  0.634
Cd  0.087  0.750  0.186
Cd  0.913  0.250  0.814
Pd  0.481  0.750  0.651
Pd  0.519  0.250  0.349